A plane-wave DFT calculation with PBE-GGA was carried out for a geometry-optimized CaZnTc2Se structure.

Properties
The calculation puts the total energy at -18.1 eV per formula unit. As for the calculated volume: 26.93 Å³/atom. The formation energy from raw total energies comes out at 1.89 eV/atom. As for the crystal system: tetragonal. For the size of the total moment, the calculation gives 6.37 μB/cell.

```
data_CaZnTc2Se
_cell_length_a 5.096
_cell_length_b 5.096
_cell_length_c 5.186
_cell_angle_alpha 90.00
_cell_angle_beta 90.00
_cell_angle_gamma 90.00
_symmetry_space_group_name_H-M 'P 4/m m m'
_symmetry_Int_Tables_number 123
_symmetry_space_group_name_Hall '-P 4 2'
loop_
_atom_site_label
_atom_site_type_symbol
_atom_site_fract_x
_atom_site_fract_y
_atom_site_fract_z
Ca1 Ca 0.000 0.000 0.000
Zn1 Zn 0.500 0.500 0.500
Tc1 Tc 0.000 0.500 0.000
Se1 Se 0.000 0.000 0.500
```